First-principles (GGA-PBE) data for a geometry-optimized K3HoBr6 structure, as listed in the Alexandria database.

Geometry as CIF:
```
data_K3HoBr6
_chemical_formula_sum 'K6 Ho2 Br12'
_space_group_name_H-M_alt 'P 1'
_space_group_IT_number 1
_cell_length_a 7.8807
_cell_length_b 8.3991
_cell_length_c 11.3084
_cell_angle_alpha 90.00
_cell_angle_beta 88.90
_cell_angle_gamma 90.00
loop_
_space_group_symop_operation_xyz
'x,y,z'
loop_
_atom_site_label
_atom_site_type_symbol
_atom_site_fract_x
_atom_site_fract_y
_atom_site_fract_z
Br1 Br 0.1656 0.2773 0.0764
Br2 Br 0.6331 0.4461 0.2719
Br3 Br 0.3669 0.5539 0.7281
Br4 Br 0.2146 0.3211 0.4414
Br5 Br 0.1331 0.0539 0.7719
Br6 Br 0.7146 0.1789 0.9414
Br7 Br 0.7854 0.6789 0.5586
Br8 Br 0.6656 0.2227 0.5764
Br9 Br 0.8669 0.9461 0.2281
Br10 Br 0.8344 0.7227 0.9236
Br11 Br 0.3344 0.7773 0.4236
Br12 Br 0.2854 0.8211 0.0586
K1 K 0.5000 0.5000 0.0000
K2 K 0.4683 0.0795 0.2433
K3 K 0.0000 0.0000 0.5000
K4 K 0.9683 0.4205 0.7433
K5 K 0.0317 0.5795 0.2567
K6 K 0.5317 0.9205 0.7567
Ho1 Ho 0.0000 0.0000 0.0000
Ho2 Ho 0.5000 0.5000 0.5000
```

Values from the calculation:
**SG**: No. 14
**Formation energy from raw total energies**: -1.8269 eV/atom
**D(E_F)**: 0.000 states/eV/atom



First-principles (GGA-PBE) data for a geometry-optimized TlPt5 structure, as listed in the Alexandria database.

Geometry as CIF:
```
data_TlPt5
_chemical_formula_sum 'Tl1 Pt5'
_space_group_name_H-M_alt 'P 1'
_space_group_IT_number 1
_cell_length_a 5.8015
_cell_length_b 5.8015
_cell_length_c 6.6782
_cell_angle_alpha 72.55
_cell_angle_beta 72.55
_cell_angle_gamma 28.35
loop_
_space_group_symop_operation_xyz
'x,y,z'
loop_
_atom_site_label
_atom_site_type_symbol
_atom_site_fract_x
_atom_site_fract_y
_atom_site_fract_z
Pt1 Pt 0.6437 0.6437 0.2338
Pt2 Pt 0.6301 0.6301 0.7132
Pt3 Pt 0.9811 0.9811 0.0645
Pt4 Pt 0.3056 0.3056 0.3889
Pt5 Pt 0.9674 0.9674 0.5440
Tl1 Tl 0.3055 0.3055 0.8889
```

Values from the calculation:
**SG**: No. 12
**D(E_F)**: 0.875 states/eV/atom
**Uncorrected energy**: -5.3737 eV per atom



First-principles (GGA-PBE) data for a geometry-optimized BaZrIn2 structure, as listed in the Alexandria database.

Geometry as CIF:
```
data_BaZrIn2
_chemical_formula_sum 'Ba1 Zr1 In2'
_space_group_name_H-M_alt 'P 1'
_space_group_IT_number 1
_cell_length_a 11.0319
_cell_length_b 11.0319
_cell_length_c 11.0319
_cell_angle_alpha 18.34
_cell_angle_beta 18.34
_cell_angle_gamma 18.34
loop_
_space_group_symop_operation_xyz
'x,y,z'
loop_
_atom_site_label
_atom_site_type_symbol
_atom_site_fract_x
_atom_site_fract_y
_atom_site_fract_z
Zr1 Zr 0.7500 0.7500 0.7500
Ba1 Ba 0.2500 0.2500 0.2500
In1 In 0.4903 0.4903 0.4903
In2 In 0.0097 0.0097 0.0097
```

Values from the calculation:
**SG**: No. 166
**D(E_F)**: 0.965 states/eV/atom
**Polymorph energy (0 for the lowest one)**: 1.00 eV per formula unit



First-principles (GGA-PBE) data for a geometry-optimized Ca2Ac6PmSm3 structure, as listed in the Alexandria database.

Geometry as CIF:
```
data_Ca2Ac6PmSm3
_chemical_formula_sum 'Ca2 Ac6 Pm1 Sm3'
_space_group_name_H-M_alt 'P 1'
_space_group_IT_number 1
_cell_length_a 6.7115
_cell_length_b 6.7115
_cell_length_c 12.5734
_cell_angle_alpha 95.09
_cell_angle_beta 95.09
_cell_angle_gamma 120.03
loop_
_space_group_symop_operation_xyz
'x,y,z'
loop_
_atom_site_label
_atom_site_type_symbol
_atom_site_fract_x
_atom_site_fract_y
_atom_site_fract_z
Sm1 Sm 0.8346 0.1654 0.5000
Sm2 Sm 0.5000 0.5000 0.5000
Sm3 Sm 0.1654 0.8346 0.5000
Ac1 Ac 0.0854 0.4144 0.2559
Ac2 Ac 0.9146 0.5856 0.7441
Ac3 Ac 0.7560 0.7560 0.2546
Ac4 Ac 0.4144 0.0854 0.2559
Ac5 Ac 0.5856 0.9146 0.7441
Ac6 Ac 0.2440 0.2440 0.7454
Ca1 Ca 0.6669 0.3331 0.0000
Ca2 Ca 0.3331 0.6669 0.0000
Pm1 Pm 0.0000 0.0000 0.0000
```

Values from the calculation:
**SG**: No. 12
**D(E_F)**: 1.124 states/eV/atom
**Uncorrected energy**: -3.9288 eV per atom



First-principles (GGA-PBE) data for a geometry-optimized Er3HgS structure, as listed in the Alexandria database.

Geometry as CIF:
```
data_Er3HgS
_chemical_formula_sum 'Er12 Hg4 S4'
_space_group_name_H-M_alt 'P 1'
_space_group_IT_number 1
_cell_length_a 3.8525
_cell_length_b 8.8653
_cell_length_c 14.6114
_cell_angle_alpha 90.00
_cell_angle_beta 90.00
_cell_angle_gamma 90.00
loop_
_space_group_symop_operation_xyz
'x,y,z'
loop_
_atom_site_label
_atom_site_type_symbol
_atom_site_fract_x
_atom_site_fract_y
_atom_site_fract_z
S1 S 0.7500 0.3310 0.4478
S2 S 0.2500 0.1690 0.9478
S3 S 0.2500 0.6690 0.5522
S4 S 0.7500 0.8310 0.0522
Er1 Er 0.2500 0.6631 0.9747
Er2 Er 0.2500 0.1631 0.5253
Er3 Er 0.7500 0.9764 0.8904
Er4 Er 0.2500 0.5236 0.3904
Er5 Er 0.7500 0.6986 0.2159
Er6 Er 0.2500 0.0236 0.1096
Er7 Er 0.7500 0.4764 0.6096
Er8 Er 0.2500 0.8014 0.7159
Er9 Er 0.7500 0.3369 0.0253
Er10 Er 0.7500 0.1986 0.2841
Er11 Er 0.7500 0.8369 0.4747
Er12 Er 0.2500 0.3014 0.7841
Hg1 Hg 0.2500 0.9256 0.3193
Hg2 Hg 0.7500 0.5744 0.8193
Hg3 Hg 0.7500 0.0744 0.6807
Hg4 Hg 0.2500 0.4256 0.1807
```

Values from the calculation:
**SG**: No. 62
**Formation energy from raw total energies**: -0.9981 eV/atom
**D(E_F)**: 0.584 states/eV/atom
**Polymorph energy (0 for the lowest one)**: 0.00 eV per formula unit



First-principles (GGA-PBE) data for a geometry-optimized Rb4Ru structure, as listed in the Alexandria database.

Geometry as CIF:
```
data_Rb4Ru
_chemical_formula_sum 'Rb4 Ru1'
_space_group_name_H-M_alt 'P 1'
_space_group_IT_number 1
_cell_length_a 6.8454
_cell_length_b 6.8454
_cell_length_c 6.8454
_cell_angle_alpha 90.00
_cell_angle_beta 90.00
_cell_angle_gamma 90.00
loop_
_space_group_symop_operation_xyz
'x,y,z'
loop_
_atom_site_label
_atom_site_type_symbol
_atom_site_fract_x
_atom_site_fract_y
_atom_site_fract_z
Rb1 Rb 0.5000 0.5000 0.0000
Rb2 Rb 0.0000 0.0000 0.0000
Rb3 Rb 0.0000 0.5000 0.5000
Rb4 Rb 0.5000 0.0000 0.5000
Ru1 Ru 0.5000 0.5000 0.5000
```

Values from the calculation:
**SG**: No. 221
**D(E_F)**: 0.547 states/eV/atom
**Uncorrected energy**: -1.8002 eV per atom



First-principles (GGA-PBE) data for a geometry-optimized NaCu3N structure, as listed in the Alexandria database.

Geometry as CIF:
```
data_NaCu3N
_chemical_formula_sum 'Na1 Cu3 N1'
_space_group_name_H-M_alt 'P 1'
_space_group_IT_number 1
_cell_length_a 4.4451
_cell_length_b 4.4451
_cell_length_c 4.4451
_cell_angle_alpha 90.00
_cell_angle_beta 90.00
_cell_angle_gamma 90.00
loop_
_space_group_symop_operation_xyz
'x,y,z'
loop_
_atom_site_label
_atom_site_type_symbol
_atom_site_fract_x
_atom_site_fract_y
_atom_site_fract_z
Na1 Na 0.0000 0.0000 0.0000
Cu1 Cu 0.0000 0.0000 0.5000
Cu2 Cu 0.5000 0.0000 0.0000
Cu3 Cu 0.0000 0.5000 0.0000
N1 N 0.5000 0.5000 0.5000
```

Values from the calculation:
**SG**: No. 221
**Formation energy from raw total energies**: 2.3070 eV/atom
**D(E_F)**: 0.552 states/eV/atom
**Polymorph energy (0 for the lowest one)**: 9.93 eV per formula unit



Question: What is the D(E_F) in the third record?
Answer: 0.965 states/eV/atom



Question: Which formula does entry 3 have?
Answer: BaZrIn2



Question: D(E_F) of number 6 (Rb4Ru)?
Answer: 0.547 states/eV/atom